# 1
# LaGaTe3

LaGaTe3 after structural relaxation (GGA-PBE, Alexandria).

a = 6.1705 Å, b = 6.1705 Å, c = 6.1705 Å
α = 90.00°, β = 90.00°, γ = 90.00°
Positions (direct):
La 0.0000 0.0000 0.0000
Ga 0.5000 0.5000 0.5000
Te 0.5000 0.0000 0.0000
Te 0.0000 0.5000 0.0000
Te 0.0000 0.0000 0.5000

Results
Space group: Pm-3m
Electronic total energy in eV/cell: -18.59
Density of states at the Fermi level in states/eV/f.u.: 9.56
Volume in Å³ per cell: 234.9
Raw formation energy in eV per atom: -0.242

---

# 2
# LaGa4PtAu2

LaGa4PtAu2 after structural relaxation (GGA-PBE, Alexandria).

a = 4.4044 Å, b = 4.4044 Å, c = 10.1546 Å
α = 77.47°, β = 77.47°, γ = 60.00°
Positions (direct):
Ga 0.1363 0.1363 0.5910
Ga 0.4126 0.4126 0.7621
Ga 0.8637 0.8637 0.4090
Ga 0.5874 0.5874 0.2379
Au 0.7305 0.7305 0.8085
Au 0.2695 0.2695 0.1915
La 0.0000 0.0000 0.0000
Pt 0.5000 0.5000 0.5000

Results
Space group: R-3m
Electronic total energy in eV/cell: -33.91
Density of states at the Fermi level in states/eV/f.u.: 2.25
ΔE_f in eV per atom: -0.535
Volume in Å³ per cell: 165.2

---

# 3
# BaCd4Au

BaCd4Au after structural relaxation (GGA-PBE, Alexandria).

a = 4.5541 Å, b = 8.0548 Å, c = 8.8355 Å
α = 90.00°, β = 90.00°, γ = 90.00°
Positions (direct):
Cd 0.5000 0.7084 0.0540
Cd 0.0000 0.0000 0.5000
Cd 0.5000 0.2916 0.5540
Cd 0.5000 0.7084 0.4460
Cd 0.5000 0.0556 0.2500
Cd 0.5000 0.9444 0.7500
Cd 0.5000 0.2916 0.9460
Cd 0.0000 0.0000 0.0000
Ba 0.0000 0.6063 0.7500
Ba 0.0000 0.3937 0.2500
Au 0.0000 0.2070 0.7500
Au 0.0000 0.7930 0.2500

Results
Space group: Pmma
Electronic total energy in eV/cell: -21.31
Density of states at the Fermi level in states/eV/f.u.: 2.86
ΔE_f in eV per atom: -0.299
Volume in Å³ per cell: 324.1

---

# 4
# ZnBiIr

ZnBiIr after structural relaxation (GGA-PBE, Alexandria).

a = 8.4244 Å, b = 4.3017 Å, c = 7.4421 Å
α = 90.00°, β = 106.74°, γ = 90.00°
Positions (direct):
Bi 0.0123 0.0000 0.3245
Bi 0.0123 0.5000 0.8245
Bi 0.3765 0.5000 0.2823
Bi 0.3765 0.0000 0.7823
Zn 0.7581 0.5000 0.4087
Zn 0.7581 0.0000 0.9087
Zn 0.5407 0.0000 0.5020
Zn 0.5407 0.5000 0.0020
Ir 0.8504 0.0000 0.6063
Ir 0.6190 0.0000 0.1940
Ir 0.8504 0.5000 0.1063
Ir 0.6190 0.5000 0.6940

Results
Space group: Cm
Electronic total energy in eV/cell: -55.54
Density of states at the Fermi level in states/eV/f.u.: 2.04
ΔE_f in eV per atom: 0.044
Volume in Å³ per cell: 258.3

---

# 5
# HoPaGaCu

HoPaGaCu after structural relaxation (GGA-PBE, Alexandria).

a = 4.9578 Å, b = 4.9578 Å, c = 4.9578 Å
α = 60.00°, β = 60.00°, γ = 60.00°
Positions (direct):
Ga 0.5000 0.5000 0.5000
Pa 0.7500 0.7500 0.7500
Ho 0.2500 0.2500 0.2500
Cu 0.0000 0.0000 0.0000

Results
Space group: F-43m
Electronic total energy in eV/cell: -21.67
Density of states at the Fermi level in states/eV/f.u.: 5.94
ΔE_f in eV per atom: -0.117
Volume in Å³ per cell: 86.2

---

# 6
# CdInAs2

CdInAs2 after structural relaxation (GGA-PBE, Alexandria).

a = 6.1649 Å, b = 6.1649 Å, c = 4.5886 Å
α = 71.01°, β = 71.01°, γ = 35.74°
Positions (direct):
As 0.9523 0.9523 0.9749
As 0.3021 0.3021 0.2656
In 0.7200 0.7200 0.8153
Cd 0.5256 0.5256 0.4442

Results
Space group: Cm
Electronic total energy in eV/cell: -12.62
Density of states at the Fermi level in states/eV/f.u.: 1.27
ΔE_f in eV per atom: 0.084
Volume in Å³ per cell: 95.7

---

# 7
# TbCeSmZn

TbCeSmZn after structural relaxation (GGA-PBE, Alexandria).

a = 5.2823 Å, b = 5.2823 Å, c = 5.2823 Å
α = 60.00°, β = 60.00°, γ = 60.00°
Each line ends with the local moment (μB).
Positions (direct):
Ce 0.2500 0.2500 0.2500  0.61
Sm 0.0000 0.0000 0.0000  0.17
Zn 0.7500 0.7500 0.7500  -0.01
Tb 0.5000 0.5000 0.5000  0.25

Results
Space group: F-43m
Electronic total energy in eV/cell: -16.09
Density of states at the Fermi level in states/eV/f.u.: 8.08
ΔE_f in eV per atom: 0.118
Volume in Å³ per cell: 104.2

---

# 8
# SrTcOs2

SrTcOs2 after structural relaxation (GGA-PBE, Alexandria).

a = 7.5272 Å, b = 7.5272 Å, c = 6.0620 Å
α = 51.62°, β = 51.62°, γ = 90.00°
Positions (direct):
Os 0.6900 0.1250 0.2500
Os 0.0600 0.6250 0.2500
Os 0.8750 0.9400 0.7500
Os 0.3750 0.3100 0.7500
Tc 0.0000 0.0000 0.0000
Tc 0.7500 0.2500 0.5000
Sr 0.5000 0.5000 0.0000
Sr 0.2500 0.7500 0.5000

Results
Space group: I-42d
Electronic total energy in eV/cell: -60.64
Density of states at the Fermi level in states/eV/f.u.: 4.67
ΔE_f in eV per atom: 1.047
Volume in Å³ per cell: 164.4